# 1
# NbAlC (PBE, optimized geometry)
data_NbAlC
_cell_length_a 3.6954
_cell_length_b 3.6954
_cell_length_c 22.7192
_cell_angle_alpha 90.00
_cell_angle_beta 90.00
_cell_angle_gamma 120.00
_symmetry_space_group_name_H-M 'R -3 m'
_symmetry_Int_Tables_number 166
_symmetry_space_group_name_Hall '-R 3 2"'
loop_
_atom_site_label
_atom_site_fract_x
_atom_site_fract_y
_atom_site_fract_z
Nb1 0.0000 0.0000 0.2139
Al1 0.0000 0.0000 0.3675
C1 0.0000 0.0000 0.1160
# M_tot: 0.00 μB per cell
# Formation enthalpy at 0 K: 0.17 eV/atom
# Calculated total energy: -7.5091 eV/atom

---

# 2
# AcURh2 (PBE, optimized geometry)
data_AcURh2
_cell_length_a 4.4775
_cell_length_b 4.4775
_cell_length_c 17.1247
_cell_angle_alpha 90.00
_cell_angle_beta 90.00
_cell_angle_gamma 120.00
_symmetry_space_group_name_H-M 'R -3 m'
_symmetry_Int_Tables_number 166
_symmetry_space_group_name_Hall '-R 3 2"'
loop_
_atom_site_label
_atom_site_fract_x
_atom_site_fract_y
_atom_site_fract_z
Ac1 0.0000 0.0000 0.0000
U1 0.0000 0.0000 0.5000
Rh1 0.0000 0.0000 0.2112
# M_tot: 5.12 μB per cell
# Formation enthalpy at 0 K: -0.53 eV/atom
# Calculated total energy: -8.0564 eV/atom
# Energy above the lowest structure with this stoichiometry: 0.0 meV per atom

---

# 3
# SmY2Pu (PBE, optimized geometry)
data_SmY2Pu
_cell_length_a 3.4732
_cell_length_b 3.4732
_cell_length_c 36.9982
_cell_angle_alpha 90.00
_cell_angle_beta 90.00
_cell_angle_gamma 120.00
_symmetry_space_group_name_H-M 'R -3 m'
_symmetry_Int_Tables_number 166
_symmetry_space_group_name_Hall '-R 3 2"'
loop_
_atom_site_label
_atom_site_fract_x
_atom_site_fract_y
_atom_site_fract_z
Sm1 0.0000 0.0000 0.0000
Y1 0.0000 0.0000 0.4120
Pu1 0.0000 0.0000 0.5000
# M_tot: 19.36 μB per cell
# Formation enthalpy at 0 K: 0.27 eV/atom
# Calculated total energy: -7.7203 eV/atom
# Energy above the lowest structure with this stoichiometry: 166.9 meV per atom